# SrYSe2Br (GGA-PBE, relaxed)
data_SrYSe2Br
_chemical_formula_sum 'Sr1 Y1 Se2 Br1'
_symmetry_space_group_name_H-M 'P 4/m m m'
_symmetry_Int_Tables_number 123
_symmetry_space_group_name_Hall '-P 4 2'
_cell_length_a 5.702
_cell_length_b 5.702
_cell_length_c 5.411
_cell_angle_alpha 90.00
_cell_angle_beta 90.00
_cell_angle_gamma 90.00
loop_
_atom_site_label
_atom_site_type_symbol
_atom_site_fract_x
_atom_site_fract_y
_atom_site_fract_z
_atom_site_occupancy
Sr1 Sr 0.000 0.000 0.000 1
Y1 Y 0.500 0.500 0.500 1
Se1 Se 0.000 0.500 0.000 1
Br1 Br 0.000 0.000 0.500 1
# raw formation energy: -0.74 eV/atom
# energy above the most stable polymorph in this dataset: 0.8954 eV per atom
# M_tot: 0.000 μB per atom